No. 1
A plane-wave DFT calculation with GGA-PBE was carried out for an optimized crystal structure of P2C.

Values from the calculation:
Energy above the most stable polymorph in this dataset: 0.014 eV per formula unit
Calculated density: 2.5 g cm⁻³
Calculated formation energy: 0.435 eV per atom
E: -6.246 eV per atom

Unit cell a=4.535 b=4.535 c=8.920 alpha=64.21 beta=64.21 gamma=36.59
Element x y z (fractional)
P (0.969, 0.969, 0.141)
C (0.441, 0.441, 0.818)
P (0.672, 0.672, 0.305)
P (0.031, 0.031, 0.859)
C (0.559, 0.559, 0.182)
P (0.328, 0.328, 0.695)

=====

No. 2
A plane-wave DFT calculation with GGA-PBE was carried out for an optimized crystal structure of Cs2InSI6.

Values from the calculation:
Calculated density: 4.5 g cm⁻³
Raw formation energy: -0.69 eV/atom
E: -2.473 eV per atom

Unit cell a=8.602 b=8.602 c=8.488 alpha=59.55 beta=59.55 gamma=90.00
Element x y z (fractional)
I (0.727, 0.727, 0.546)
Cs (0.250, 0.750, 0.500)
I (0.240, 0.240, 0.000)
I (0.760, 0.240, 0.000)
I (0.240, 0.760, 0.000)
I (0.273, 0.273, 0.454)
In (0.000, 0.000, 0.000)
Cs (0.750, 0.250, 0.500)
I (0.760, 0.760, 0.000)
S (0.500, 0.500, 0.000)

=====

No. 3
A plane-wave DFT calculation with GGA-PBE was carried out for an optimized crystal structure of Cd2CoSb.

Values from the calculation:
Calculated density: 7.7 g cm⁻³
Raw formation energy: 0.12 eV/atom
E: -3.144 eV per atom

Unit cell a=4.622 b=4.622 c=7.017 alpha=69.64 beta=69.64 gamma=38.79
Element x y z (fractional)
Cd (0.825, 0.825, 0.730)
Co (0.464, 0.464, 0.376)
Sb (0.184, 0.184, 0.374)
Cd (0.028, 0.028, 0.020)

=====

No. 4
A plane-wave DFT calculation with GGA-PBE was carried out for an optimized crystal structure of CaZrIn2Rh.

Values from the calculation:
Calculated density: 5.1 g cm⁻³
Calculated formation energy: 0.228 eV per atom
E: -4.447 eV per atom

Unit cell a=5.585 b=4.803 c=5.585 alpha=90.00 beta=90.00 gamma=90.00
Element x y z (fractional)
In (0.000, 0.000, 0.500)
Zr (0.000, 0.000, 0.000)
Ca (0.500, 0.500, 0.500)
In (0.500, 0.000, 0.000)
Rh (0.000, 0.500, 0.000)

=====

No. 5
A plane-wave DFT calculation with GGA-PBE was carried out for an optimized crystal structure of La2TbEr3Se6.

Values from the calculation:
Calculated density: 7.8 g cm⁻³
Raw formation energy: -1.81 eV/atom
E: -5.900 eV per atom

Unit cell a=4.088 b=8.395 c=9.298 alpha=104.43 beta=102.70 gamma=90.00
Element x y z (fractional)
Tb (0.500, 0.000, 0.000)
La (0.166, 0.333, 0.333)
La (0.834, 0.667, 0.667)
Er (0.831, 0.167, 0.662)
Se (0.994, 0.251, 0.988)
Se (0.333, 0.933, 0.667)
Se (0.338, 0.405, 0.677)
Se (0.006, 0.749, 0.012)
Er (0.169, 0.833, 0.338)
Er (0.500, 0.500, 0.000)
Se (0.662, 0.595, 0.323)
Se (0.667, 0.067, 0.333)

=====

No. 6
A plane-wave DFT calculation with GGA-PBE was carried out for an optimized crystal structure of CaTb2Y4Er.

Values from the calculation:
Calculated density: 5.3 g cm⁻³
Calculated formation energy: 0.441 eV per atom
E: -4.769 eV per atom

Unit cell a=9.611 b=9.611 c=11.960 alpha=128.51 beta=128.51 gamma=88.38
Element x y z (fractional)
Ca (0.500, 0.500, 0.500)
Er (0.000, 0.500, 0.000)
Tb (0.000, 0.000, 0.500)
Y (0.754, 0.751, 0.487)
Y (0.749, 0.746, 0.013)
Tb (0.500, 0.000, 0.500)
Tb (0.500, 0.500, 0.000)
Y (0.747, 0.254, 0.001)
Y (0.251, 0.254, 0.987)
Tb (0.500, 0.000, 0.000)
Y (0.754, 0.247, 0.501)
Ca (0.000, 0.000, 0.000)
Y (0.253, 0.746, 0.999)
Er (0.000, 0.500, 0.500)
Y (0.246, 0.753, 0.499)
Y (0.246, 0.249, 0.513)

=====

No. 7
A plane-wave DFT calculation with GGA-PBE was carried out for an optimized crystal structure of BaBrCl.

Values from the calculation:
Energy above the most stable polymorph in this dataset: 0.148 eV per formula unit
Calculated density: 3.9 g cm⁻³
Raw formation energy: -2.34 eV/atom
E: -4.159 eV per atom

Unit cell a=5.068 b=8.159 c=10.336 alpha=90.00 beta=90.00 gamma=90.00
Element x y z (fractional)
Cl (0.250, 0.492, 0.355)
Br (0.250, 0.137, 0.597)
Cl (0.250, 0.992, 0.145)
Ba (0.250, 0.729, 0.589)
Br (0.250, 0.637, 0.903)
Ba (0.750, 0.271, 0.411)
Br (0.750, 0.363, 0.097)
Cl (0.750, 0.508, 0.645)
Br (0.750, 0.863, 0.403)
Ba (0.750, 0.771, 0.089)
Cl (0.750, 0.008, 0.855)
Ba (0.250, 0.229, 0.911)

=====

No. 8
A plane-wave DFT calculation with GGA-PBE was carried out for an optimized crystal structure of Nd2Dy6Tm3.

Values from the calculation:
Energy above the most stable polymorph in this dataset: 0.000 eV per formula unit
Calculated density: 8.0 g cm⁻³
Calculated formation energy: 0.181 eV per atom
E: -4.415 eV per atom

Unit cell a=6.090 b=6.096 c=11.667 alpha=84.97 beta=79.88 gamma=60.03
Element x y z (fractional)
Tm (0.665, 0.669, 0.000)
Dy (0.251, 0.000, 0.246)
Dy (0.082, 0.334, 0.755)
Nd (0.833, 0.333, 0.500)
Dy (0.918, 0.666, 0.245)
Nd (0.167, 0.667, 0.500)
Dy (0.415, 0.666, 0.755)
Tm (0.000, 0.000, 0.000)
Dy (0.749, 0.000, 0.754)
Tm (0.335, 0.331, 0.000)
Dy (0.585, 0.334, 0.245)

=====

No. 9
A plane-wave DFT calculation with GGA-PBE was carried out for an optimized crystal structure of KYAs2.

Values from the calculation:
Energy above the most stable polymorph in this dataset: 1.404 eV per formula unit
Calculated density: 3.0 g cm⁻³
Calculated formation energy: -0.462 eV per atom
E: -4.677 eV per atom

Unit cell a=5.871 b=5.871 c=9.963 alpha=72.86 beta=72.86 gamma=90.00
Element x y z (fractional)
As (0.806, 0.125, 0.250)
K (0.500, 0.500, 0.000)
As (0.875, 0.056, 0.750)
Y (0.000, 0.000, 0.000)
K (0.250, 0.750, 0.500)
As (0.375, 0.194, 0.750)
As (0.944, 0.625, 0.250)
Y (0.750, 0.250, 0.500)

=====

No. 10
A plane-wave DFT calculation with GGA-PBE was carried out for an optimized crystal structure of Pm4Re3N10.

Values from the calculation:
Calculated density: 9.8 g cm⁻³
Raw formation energy: -0.73 eV/atom
E: -8.943 eV per atom

Unit cell a=3.938 b=3.938 c=14.313 alpha=97.91 beta=97.91 gamma=90.00
Element x y z (fractional)
Pm (0.703, 0.703, 0.406)
N (0.071, 0.071, 0.141)
Pm (0.568, 0.568, 0.135)
N (0.213, 0.213, 0.427)
Re (0.000, 0.000, 0.000)
N (0.359, 0.859, 0.718)
N (0.000, 0.500, 0.000)
Re (0.141, 0.141, 0.281)
N (0.641, 0.141, 0.282)
N (0.500, 0.000, 0.000)
Pm (0.297, 0.297, 0.594)
N (0.787, 0.787, 0.573)
Re (0.859, 0.859, 0.719)
Pm (0.432, 0.432, 0.865)
N (0.141, 0.641, 0.282)
N (0.929, 0.929, 0.859)
N (0.859, 0.359, 0.718)

=====

No. 11
A plane-wave DFT calculation with GGA-PBE was carried out for an optimized crystal structure of NbFe2Tc.

Values from the calculation:
Energy above the most stable polymorph in this dataset: 0.112 eV per formula unit
Calculated density: 9.3 g cm⁻³
Calculated formation energy: 0.065 eV per atom
E: -9.275 eV per atom

Unit cell a=3.772 b=3.794 c=3.794 alpha=90.00 beta=90.00 gamma=90.00
Element x y z (fractional)
Tc (0.500, 0.500, 0.500)
Nb (0.500, 0.000, 0.000)
Fe (0.000, 0.500, 0.000)
Fe (0.000, 0.000, 0.500)

=====

No. 12
A plane-wave DFT calculation with GGA-PBE was carried out for an optimized crystal structure of Li2PaPbCl8.

Values from the calculation:
Calculated density: 3.3 g cm⁻³
Raw formation energy: -1.67 eV/atom
E: -4.317 eV per atom

Unit cell a=6.950 b=6.656 c=8.655 alpha=90.22 beta=72.47 gamma=100.83
Element x y z (fractional)
Cl (0.782, 0.116, 0.825)
Cl (0.218, 0.884, 0.175)
Cl (0.777, 0.135, 0.282)
Pb (0.000, 0.000, 0.500)
Pa (0.000, 0.000, 0.000)
Cl (0.252, 0.357, 0.933)
Cl (0.223, 0.865, 0.718)
Li (0.362, 0.540, 0.673)
Li (0.638, 0.460, 0.327)
Cl (0.724, 0.614, 0.549)
Cl (0.276, 0.386, 0.451)
Cl (0.748, 0.643, 0.067)

=====

Question: What is the formula in the sixth record?
Answer: CaTb2Y4Er

=====

Question: What is the formula in the seventh record?
Answer: BaBrCl

=====

Copy entry 3 word for word.
A plane-wave DFT calculation with GGA-PBE was carried out for an optimized crystal structure of Cd2CoSb.

Values from the calculation:
Calculated density: 7.7 g cm⁻³
Raw formation energy: 0.12 eV/atom
E: -3.144 eV per atom

Unit cell a=4.622 b=4.622 c=7.017 alpha=69.64 beta=69.64 gamma=38.79
Element x y z (fractional)
Cd (0.825, 0.825, 0.730)
Co (0.464, 0.464, 0.376)
Sb (0.184, 0.184, 0.374)
Cd (0.028, 0.028, 0.020)